Entry 1:
A plane-wave DFT calculation with PBE was carried out for crystalline InAsIr2 at its relaxed geometry.

a = 4.548 Å, b = 4.548 Å, c = 4.548 Å
α = 60.00°, β = 60.00°, γ = 60.00°
Last column: magnetic moment on the atom in μB.
Fractional positions:
As 0.000 0.000 0.000  0.01
Ir 0.250 0.250 0.250  0.20
In 0.500 0.500 0.500  -0.01
Ir 0.750 0.750 0.750  0.20

Crystal system: cubic

***

Entry 2:
A plane-wave DFT calculation with PBE was carried out for crystalline InAs2Ir at its relaxed geometry.

a = 3.894 Å, b = 3.015 Å, c = 6.795 Å
α = 82.13°, β = 90.00°, γ = 90.00°
Fractional positions:
In 0.000 0.489 0.519
As 0.000 0.022 0.956
As 0.500 0.424 0.208
Ir 0.500 0.566 0.818

Crystal system: monoclinic

***

Entry 3:
A plane-wave DFT calculation with PBE was carried out for crystalline InAs2Ir2 at its relaxed geometry.

a = 3.977 Å, b = 3.977 Å, c = 6.510 Å
α = 72.22°, β = 72.22°, γ = 90.00°
Fractional positions:
In 0.000 0.000 0.000
Ir 0.612 0.612 0.776
As 0.250 0.750 0.500
Ir 0.388 0.388 0.224
As 0.750 0.250 0.500

Crystal system: tetragonal

***

Entry 4:
A plane-wave DFT calculation with PBE was carried out for crystalline InAsIr2 at its relaxed geometry.

a = 3.411 Å, b = 3.411 Å, c = 5.984 Å
α = 90.00°, β = 90.00°, γ = 90.00°
Last column: magnetic moment on the atom in μB.
Fractional positions:
In 0.500 0.500 0.777  0.00
Ir 0.000 0.000 0.004  0.18
As 0.000 0.000 0.425  0.00
Ir 0.500 0.500 0.295  0.01

Crystal system: tetragonal

***

Entry 5:
A plane-wave DFT calculation with PBE was carried out for crystalline InAsIr at its relaxed geometry.

a = 4.413 Å, b = 4.413 Å, c = 4.413 Å
α = 60.00°, β = 60.00°, γ = 60.00°
Fractional positions:
In 0.500 0.500 0.500
As 0.000 0.000 0.000
Ir 0.250 0.250 0.250

Crystal system: cubic

***

Entry 6:
A plane-wave DFT calculation with PBE was carried out for crystalline In2AsIr at its relaxed geometry.

a = 5.182 Å, b = 5.182 Å, c = 5.182 Å
α = 130.96°, β = 130.96°, γ = 71.88°
Fractional positions:
Ir 0.500 0.500 0.000
As 0.750 0.250 0.500
In 0.000 0.000 0.000
In 0.250 0.750 0.500

Crystal system: tetragonal

***

Entry 7:
A plane-wave DFT calculation with PBE was carried out for crystalline In2AsIr at its relaxed geometry.

a = 5.069 Å, b = 5.069 Å, c = 4.334 Å
α = 65.32°, β = 65.32°, γ = 51.10°
Fractional positions:
In 0.999 0.999 0.000
In 0.501 0.501 0.500
Ir 0.750 0.750 0.750
As 0.250 0.250 0.250

Crystal system: monoclinic

***

Entry 8:
A plane-wave DFT calculation with PBE was carried out for crystalline In2AsIr at its relaxed geometry.

a = 6.663 Å, b = 6.663 Å, c = 6.663 Å
α = 153.66°, β = 139.27°, γ = 49.16°
Fractional positions:
As 0.684 0.184 0.500
In 0.301 0.801 0.500
Ir 0.515 0.515 0.000
In 0.000 0.000 0.000

Crystal system: orthorhombic

***

Entry 9:
A plane-wave DFT calculation with PBE was carried out for crystalline In2AsIr at its relaxed geometry.

a = 4.484 Å, b = 4.486 Å, c = 3.850 Å
α = 90.00°, β = 90.00°, γ = 90.00°
Fractional positions:
In 0.000 0.000 0.000
In 0.500 0.500 0.000
Ir 0.500 0.000 0.500
As 0.000 0.500 0.500

Crystal system: tetragonal

***

Entry 10:
A plane-wave DFT calculation with PBE was carried out for crystalline InAs2Ir at its relaxed geometry.

a = 4.719 Å, b = 4.719 Å, c = 4.719 Å
α = 60.00°, β = 60.00°, γ = 60.00°
Fractional positions:
Ir 0.750 0.750 0.750
As 0.250 0.250 0.250
As 0.000 0.000 0.000
In 0.500 0.500 0.500

Crystal system: cubic

***

Entry 11:
A plane-wave DFT calculation with PBE was carried out for crystalline InAsIr2 at its relaxed geometry.

a = 2.974 Å, b = 5.069 Å, c = 4.505 Å
α = 90.00°, β = 90.00°, γ = 90.00°
Fractional positions:
In 0.000 0.500 0.500
Ir 0.500 0.500 0.000
As 0.500 0.000 0.500
Ir 0.000 0.000 0.000

Crystal system: orthorhombic

***

Entry 12:
A plane-wave DFT calculation with PBE was carried out for crystalline InAsIr at its relaxed geometry.

a = 4.221 Å, b = 4.221 Å, c = 3.839 Å
α = 90.00°, β = 90.00°, γ = 120.00°
Fractional positions:
In 0.667 0.333 0.333
Ir 0.333 0.667 0.833
As 0.000 0.000 0.833

Crystal system: hexagonal

***

Entry 13:
A plane-wave DFT calculation with PBE was carried out for crystalline InAsIr2 at its relaxed geometry.

a = 3.032 Å, b = 5.183 Å, c = 5.479 Å
α = 50.61°, β = 90.00°, γ = 90.00°
Fractional positions:
Ir 0.000 0.000 0.000
Ir 0.500 0.500 0.000
As 0.500 0.500 0.500
In 0.000 0.000 0.500

Crystal system: monoclinic

***

Entry 14:
A plane-wave DFT calculation with PBE was carried out for crystalline In2AsIr at its relaxed geometry.

a = 9.384 Å, b = 9.384 Å, c = 9.384 Å
α = 19.52°, β = 19.52°, γ = 19.52°
Fractional positions:
In 0.992 0.992 0.992
As 0.750 0.750 0.750
Ir 0.250 0.250 0.250
In 0.508 0.508 0.508

Crystal system: trigonal

***

Entry 15:
A plane-wave DFT calculation with PBE was carried out for crystalline InAs2Ir at its relaxed geometry.

a = 6.032 Å, b = 6.032 Å, c = 7.065 Å
α = 64.73°, β = 64.73°, γ = 90.00°
Fractional positions:
As 0.677 0.125 0.250
Ir 0.750 0.250 0.500
In 0.250 0.750 0.500
As 0.375 0.323 0.750
In 0.500 0.500 0.000
As 0.073 0.625 0.250
Ir 0.000 0.000 0.000
As 0.875 0.927 0.750

Crystal system: tetragonal

***

Calculated total magnetic moment in order - 0.394; 0.000; 0.000; 0.189; 0.000; 0.000; 0.000; 0.000; 0.000; 0.000; 0.000; 0.000; 0.000; 0.000; 0.000 μB/cell
Calculated energy relative to the elements in order - 235.9; 161.1; 90.1; 134.8; -67.0; 266.4; 219.9; -36.6; 225.2; 395.8; 341.2; 146.6; 163.9; 212.3; 19.2 meV/atom
Calculated mass density in order - 14.33; 9.60; 11.61; 13.69; 10.44; 10.63; 10.74; 9.67; 10.65; 10.21; 14.04; 10.71; 14.33; 10.22; 7.40 g/cm3